Pm2SmMg PBE relaxed; calculated total energy = -3.915 eV/atom; total magnetization = 0.0 μB per formula unit; energy of formation from the pure elements = 0.039 eV/atom; space group = R3m
1.0
3.585 0.000 0.000
1.793 3.105 0.000
1.793 1.035 11.522
Pm Mg Sm
2 1 1
Cartesian
1.793 1.035 8.565
1.793 1.035 2.967
3.585 2.070 5.764
5.378 3.105 11.510